This record from Alexandria via LeMat-Bulk describes crystalline TbEuYHo at its relaxed geometry. The functional is PBE.

a b c (Å): 8.1334 8.1334 8.1334
angles (deg): 90.00 90.00 90.00
Space group F-43m (No. 216)
Inequivalent atoms, fractional coordinates:
Tb1 0.0000 0.0000 0.0000 x4
Eu1 0.2500 0.2500 0.2500 x4
Y1 0.0000 0.0000 0.5000 x4
Ho1 0.2500 0.2500 0.7500 x4

Properties
* energy relative to the elements: 0.65 eV per formula unit
* N(E_F): 30.6 states/eV per cell
* mass density: 6972 kg/m³